# 1
Below is PmYAu after structural relaxation, with properties calculated at the PBE level.

```
data_PmYAu
_space_group_name_H-M_alt 'P 3 m 1'
_space_group_IT_number 156
_cell_length_a 4.9452
_cell_length_b 4.9452
_cell_length_c 3.9270
_cell_angle_alpha 90.00
_cell_angle_beta 90.00
_cell_angle_gamma 120.00
loop_
_space_group_symop_operation_xyz
'x,y,z'
'-y,x-y,z'
'-x+y,-x,z'
'-y,-x,z'
'-x+y,y,z'
'x,x-y,z'
loop_
_atom_site_label
_atom_site_type_symbol
_atom_site_fract_x
_atom_site_fract_y
_atom_site_fract_z
Pm1 Pm 0.0000 0.0000 0.0000
Y1 Y 0.6667 0.3333 0.4670
Au1 Au 0.3333 0.6667 0.6905
```

Results
* calculated volume: 83.17 Å³ per cell
* calculated formation energy: -0.39 eV per atom
* energy relative to the lowest polymorph listed for this composition: 211 meV per atom

# 2
Below is PmY2Au2 after structural relaxation, with properties calculated at the PBE level.

```
data_PmY2Au2
_space_group_name_H-M_alt 'P 4/m b m'
_space_group_IT_number 127
_space_group_name_Hall '-P 4 2ab'
_cell_length_a 8.232
_cell_length_b 8.232
_cell_length_c 3.850
_cell_angle_alpha 90.00
_cell_angle_beta 90.00
_cell_angle_gamma 90.00
loop_
_atom_site_label
_atom_site_type_symbol
_atom_site_fract_x
_atom_site_fract_y
_atom_site_fract_z
Pm1 Pm 0.000 0.000 0.000
Y1 Y 0.162 0.338 0.500
Au1 Au 0.131 0.631 0.000
```

Results
* calculated volume: 260.87 Å³ per cell
* calculated formation energy: -0.69 eV per atom

# 3
Below is PmYAu2 after structural relaxation, with properties calculated at the PBE level.

```
data_PmYAu2
_space_group_name_H-M_alt 'F m -3 m'
_space_group_IT_number 225
_space_group_name_Hall '-F 4 2 3'
_cell_length_a 7.307
_cell_length_b 7.307
_cell_length_c 7.307
_cell_angle_alpha 90.00
_cell_angle_beta 90.00
_cell_angle_gamma 90.00
loop_
_atom_site_label
_atom_site_type_symbol
_atom_site_fract_x
_atom_site_fract_y
_atom_site_fract_z
Pm1 Pm 0.000 0.000 0.000
Y1 Y 0.000 0.000 0.500
Au1 Au 0.250 0.250 0.250
```

Results
* calculated volume: 390.19 Å³ per cell
* calculated formation energy: -0.81 eV per atom
* energy relative to the lowest polymorph listed for this composition: 35 meV per atom

# 4
Below is PmY5Au6 after structural relaxation, with properties calculated at the PBE level.

```
data_PmY5Au6
_space_group_name_H-M_alt 'C 1 2/m 1'
_space_group_IT_number 12
_cell_length_a 8.869
_cell_length_b 15.392
_cell_length_c 5.110
_cell_angle_alpha 90.00
_cell_angle_beta 125.04
_cell_angle_gamma 90.00
loop_
_space_group_symop_operation_xyz
'x,y,z'
'-x,-y,-z'
'-x,y,-z'
'x,-y,z'
'x+1/2,y+1/2,z'
'-x+1/2,-y+1/2,-z'
'-x+1/2,y+1/2,-z'
'x+1/2,-y+1/2,z'
loop_
_atom_site_label
_atom_site_type_symbol
_atom_site_fract_x
_atom_site_fract_y
_atom_site_fract_z
Pm1 Pm 0.000 0.000 0.000
Y1 Y 0.000 0.166 0.500
Y2 Y 0.000 0.332 0.000
Y3 Y 0.000 0.500 0.500
Au1 Au 0.241 0.500 0.240
Au2 Au 0.246 0.331 0.746
```

Results
* calculated volume: 571.15 Å³ per cell
* calculated formation energy: -0.85 eV per atom

# 5
Below is PmY2Au after structural relaxation, with properties calculated at the PBE level.

```
data_PmY2Au
_space_group_name_H-M_alt 'C m c m'
_space_group_IT_number 63
_space_group_name_Hall '-C 2c 2'
_cell_length_a 5.018
_cell_length_b 12.121
_cell_length_c 7.747
_cell_angle_alpha 90.00
_cell_angle_beta 90.00
_cell_angle_gamma 90.00
loop_
_atom_site_label
_atom_site_type_symbol
_atom_site_fract_x
_atom_site_fract_y
_atom_site_fract_z
Pm1 Pm 0.000 0.046 0.250
Y1 Y 0.000 0.354 0.033
Au1 Au 0.000 0.201 0.750
```

Results
* calculated volume: 471.12 Å³ per cell
* calculated formation energy: -0.41 eV per atom
* energy relative to the lowest polymorph listed for this composition: 30 meV per atom

# 6
Below is PmYAu after structural relaxation, with properties calculated at the PBE level.

```
data_PmYAu
_space_group_name_H-M_alt 'I 4 m m'
_space_group_IT_number 107
_space_group_name_Hall 'I 4 -2'
_cell_length_a 3.646
_cell_length_b 3.646
_cell_length_c 12.547
_cell_angle_alpha 90.00
_cell_angle_beta 90.00
_cell_angle_gamma 90.00
loop_
_atom_site_label
_atom_site_type_symbol
_atom_site_fract_x
_atom_site_fract_y
_atom_site_fract_z
Pm1 Pm 0.000 0.000 0.000
Y1 Y 0.000 0.000 0.288
Au1 Au 0.000 0.000 0.654
```

Results
* calculated volume: 166.83 Å³ per cell
* calculated formation energy: -0.52 eV per atom
* energy relative to the lowest polymorph listed for this composition: 86 meV per atom

# 7
Below is PmYAu2 after structural relaxation, with properties calculated at the PBE level.

```
data_PmYAu2
_space_group_name_H-M_alt 'R 3 m'
_space_group_IT_number 160
_space_group_name_Hall 'R 3 -2"'
_cell_length_a 4.0727
_cell_length_b 4.0727
_cell_length_c 22.7638
_cell_angle_alpha 90.00
_cell_angle_beta 90.00
_cell_angle_gamma 120.00
loop_
_atom_site_label
_atom_site_type_symbol
_atom_site_fract_x
_atom_site_fract_y
_atom_site_fract_z
Pm1 Pm 0.0000 0.0000 0.0000
Y1 Y 0.0000 0.0000 0.8307
Au1 Au 0.0000 0.0000 0.4183
Au2 Au 0.0000 0.0000 0.5784
```

Results
* calculated volume: 326.99 Å³ per cell
* calculated formation energy: -0.70 eV per atom
* energy relative to the lowest polymorph listed for this composition: 146 meV per atom

# 8
Below is PmY3Au2 after structural relaxation, with properties calculated at the PBE level.

```
data_PmY3Au2
_space_group_name_H-M_alt 'P m c 21'
_space_group_IT_number 26
_cell_length_a 5.007
_cell_length_b 9.037
_cell_length_c 7.188
_cell_angle_alpha 90.00
_cell_angle_beta 90.00
_cell_angle_gamma 90.00
loop_
_space_group_symop_operation_xyz
'x,y,z'
'-x,-y,z+1/2'
'-x,y,z'
'x,-y,z+1/2'
loop_
_atom_site_label
_atom_site_type_symbol
_atom_site_fract_x
_atom_site_fract_y
_atom_site_fract_z
Pm1 Pm 0.000 0.076 0.000
Y1 Y 0.000 0.332 0.636
Y2 Y 0.500 0.169 0.339
Y3 Y 0.500 0.428 0.975
Au1 Au 0.000 0.352 0.233
Au2 Au 0.500 0.156 0.744
```

Results
* calculated volume: 325.29 Å³ per cell
* calculated formation energy: -0.63 eV per atom

# 9
Below is Pm2YAu3 after structural relaxation, with properties calculated at the PBE level.

```
data_Pm2YAu3
_space_group_name_H-M_alt 'P m m n'
_space_group_IT_number 59
_cell_length_a 5.183
_cell_length_b 15.636
_cell_length_c 3.644
_cell_angle_alpha 90.00
_cell_angle_beta 90.00
_cell_angle_gamma 90.00
loop_
_space_group_symop_operation_xyz
'x,y,z'
'-x,-y,-z'
'-x+1/2,-y+1/2,z'
'x+1/2,y+1/2,-z'
'x+1/2,-y,-z'
'-x+1/2,y,z'
'-x,y+1/2,-z'
'x,-y+1/2,z'
loop_
_atom_site_label
_atom_site_type_symbol
_atom_site_fract_x
_atom_site_fract_y
_atom_site_fract_z
Pm1 Pm 0.250 0.083 0.001
Y1 Y 0.250 0.750 0.999
Au1 Au 0.250 0.250 0.500
Au2 Au 0.250 0.590 0.498
```

Results
* calculated volume: 295.32 Å³ per cell
* calculated formation energy: -0.81 eV per atom
* energy relative to the lowest polymorph listed for this composition: 6 meV per atom

# 10
Below is PmY2Au after structural relaxation, with properties calculated at the PBE level.

```
data_PmY2Au
_space_group_name_H-M_alt 'P 4/m m m'
_space_group_IT_number 123
_space_group_name_Hall '-P 4 2'
_cell_length_a 3.643
_cell_length_b 3.643
_cell_length_c 8.605
_cell_angle_alpha 90.00
_cell_angle_beta 90.00
_cell_angle_gamma 90.00
loop_
_atom_site_label
_atom_site_type_symbol
_atom_site_fract_x
_atom_site_fract_y
_atom_site_fract_z
Pm1 Pm 0.000 0.000 0.000
Y1 Y 0.500 0.500 0.297
Au1 Au 0.000 0.000 0.500
```

Results
* calculated volume: 114.18 Å³ per cell
* calculated formation energy: -0.40 eV per atom
* energy relative to the lowest polymorph listed for this composition: 37 meV per atom

# 11
Below is PmY2Au after structural relaxation, with properties calculated at the PBE level.

```
data_PmY2Au
_space_group_name_H-M_alt 'P n m a'
_space_group_IT_number 62
_cell_length_a 7.025
_cell_length_b 10.001
_cell_length_c 6.701
_cell_angle_alpha 90.00
_cell_angle_beta 90.00
_cell_angle_gamma 90.00
loop_
_space_group_symop_operation_xyz
'x,y,z'
'-x,-y,-z'
'-x+1/2,-y,z+1/2'
'x+1/2,y,-z+1/2'
'x+1/2,-y+1/2,-z+1/2'
'-x+1/2,y+1/2,z+1/2'
'-x,y+1/2,-z'
'x,-y+1/2,z'
loop_
_atom_site_label
_atom_site_type_symbol
_atom_site_fract_x
_atom_site_fract_y
_atom_site_fract_z
Pm1 Pm 0.004 0.250 0.128
Y1 Y 0.185 0.053 0.681
Au1 Au 0.106 0.750 0.437
```

Results
* calculated volume: 470.75 Å³ per cell
* calculated formation energy: -0.44 eV per atom
* energy relative to the lowest polymorph listed for this composition: 0 meV per atom

# 12
Below is PmY4Au5 after structural relaxation, with properties calculated at the PBE level.

```
data_PmY4Au5
_space_group_name_H-M_alt 'P 4/m m m'
_space_group_IT_number 123
_space_group_name_Hall '-P 4 2'
_cell_length_a 3.594
_cell_length_b 3.594
_cell_length_c 18.412
_cell_angle_alpha 90.00
_cell_angle_beta 90.00
_cell_angle_gamma 90.00
loop_
_atom_site_label
_atom_site_type_symbol
_atom_site_fract_x
_atom_site_fract_y
_atom_site_fract_z
Pm1 Pm 0.000 0.000 0.000
Y1 Y 0.000 0.000 0.203
Y2 Y 0.000 0.000 0.401
Au1 Au 0.500 0.500 0.107
Au2 Au 0.500 0.500 0.302
Au3 Au 0.500 0.500 0.500
```

Results
* calculated volume: 237.83 Å³ per cell
* calculated formation energy: -0.85 eV per atom

For each record above, in turn, the calculated total moment values are 0.00; 0.00; 0.00; 0.00; 0.00; 0.80; 0.00; 0.00; 0.00; 0.00; 0.00; 0.00 μB per formula unit.